(1)
# Rb4Na2Mn2H12C10N11O6

A geometry-optimized Rb4Na2Mn2H12C10N11O6 structure (GGA+U, Alexandria via LeMat-Bulk).

a = 12.086 Å, b = 12.086 Å, c = 9.298 Å
α = 90.00°, β = 90.00°, γ = 88.32°
Fractional coordinates of all 94 atoms:
Rb (0.196, 0.804, 0.770)
Rb (0.239, 0.239, 0.000)
Rb (0.261, 0.261, 0.500)
Rb (0.304, 0.696, 0.270)
Rb (0.696, 0.304, 0.730)
Rb (0.739, 0.739, 0.500)
Rb (0.761, 0.761, 0.000)
Rb (0.804, 0.196, 0.230)
Na (0.000, 0.500, 0.000)
Na (0.000, 0.500, 0.500)
Na (0.500, 0.000, 0.000)
Na (0.500, 0.000, 0.500)
Mn (0.049, 0.951, 0.161)
Mn (0.451, 0.549, 0.661)
Mn (0.549, 0.451, 0.339)
Mn (0.951, 0.049, 0.839)
H (0.010, 0.737, 0.439)
H (0.016, 0.322, 0.703)
H (0.062, 0.350, 0.259)
H (0.150, 0.438, 0.241)
H (0.178, 0.484, 0.797)
H (0.237, 0.510, 0.939)
H (0.263, 0.990, 0.439)
H (0.322, 0.016, 0.297)
H (0.350, 0.062, 0.741)
H (0.438, 0.150, 0.759)
H (0.484, 0.178, 0.203)
H (0.490, 0.763, 0.939)
H (0.510, 0.237, 0.061)
H (0.516, 0.822, 0.797)
H (0.562, 0.850, 0.241)
H (0.650, 0.938, 0.259)
H (0.678, 0.984, 0.703)
H (0.737, 0.010, 0.561)
H (0.763, 0.490, 0.061)
H (0.822, 0.516, 0.203)
H (0.850, 0.562, 0.759)
H (0.938, 0.650, 0.741)
H (0.984, 0.678, 0.297)
H (0.990, 0.263, 0.561)
C (0.045, 0.792, 0.108)
C (0.065, 0.103, 0.238)
C (0.103, 0.065, 0.762)
C (0.107, 0.893, 0.355)
C (0.208, 0.955, 0.108)
C (0.292, 0.545, 0.608)
C (0.393, 0.607, 0.855)
C (0.397, 0.435, 0.262)
C (0.435, 0.397, 0.738)
C (0.455, 0.708, 0.608)
C (0.545, 0.292, 0.392)
C (0.565, 0.603, 0.262)
C (0.603, 0.565, 0.738)
C (0.607, 0.393, 0.145)
C (0.708, 0.455, 0.392)
C (0.792, 0.045, 0.892)
C (0.893, 0.107, 0.645)
C (0.897, 0.935, 0.238)
C (0.935, 0.897, 0.762)
C (0.955, 0.208, 0.892)
N (0.000, 0.000, 0.000)
N (0.043, 0.696, 0.081)
N (0.073, 0.196, 0.274)
N (0.146, 0.854, 0.460)
N (0.196, 0.073, 0.726)
N (0.196, 0.543, 0.581)
N (0.304, 0.427, 0.226)
N (0.304, 0.957, 0.081)
N (0.354, 0.646, 0.960)
N (0.427, 0.304, 0.774)
N (0.457, 0.804, 0.581)
N (0.500, 0.500, 0.500)
N (0.543, 0.196, 0.419)
N (0.573, 0.696, 0.226)
N (0.646, 0.354, 0.040)
N (0.696, 0.043, 0.919)
N (0.696, 0.573, 0.774)
N (0.804, 0.457, 0.419)
N (0.804, 0.927, 0.274)
N (0.854, 0.146, 0.540)
N (0.927, 0.804, 0.726)
N (0.957, 0.304, 0.919)
O (0.034, 0.323, 0.600)
O (0.069, 0.431, 0.250)
O (0.177, 0.466, 0.900)
O (0.323, 0.034, 0.400)
O (0.431, 0.069, 0.750)
O (0.466, 0.177, 0.100)
O (0.534, 0.823, 0.900)
O (0.569, 0.931, 0.250)
O (0.677, 0.966, 0.600)
O (0.823, 0.534, 0.100)
O (0.931, 0.569, 0.750)
O (0.966, 0.677, 0.400)

Calculated values
volume	1357.7	Å³ per cell
crystal system	orthorhombic
VASP energy	-588.33	eV/cell

(2)
# MnH11C5NO6

A geometry-optimized MnH11C5NO6 structure (GGA+U, Alexandria via LeMat-Bulk).

a = 8.408 Å, b = 8.408 Å, c = 9.035 Å
α = 115.51°, β = 115.51°, γ = 60.52°
Fractional coordinates of all 48 atoms:
Mn (0.247, 0.753, 0.500)
Mn (0.753, 0.247, 0.000)
H (0.041, 0.897, 0.158)
H (0.046, 0.462, 0.565)
H (0.118, 0.245, 0.715)
H (0.132, 0.461, 0.999)
H (0.194, 0.527, 0.874)
H (0.245, 0.118, 0.215)
H (0.333, 0.890, 0.966)
H (0.370, 0.897, 0.251)
H (0.425, 0.513, 0.770)
H (0.461, 0.132, 0.499)
H (0.462, 0.046, 0.065)
H (0.513, 0.425, 0.270)
H (0.527, 0.194, 0.374)
H (0.576, 0.810, 0.089)
H (0.594, 0.900, 0.744)
H (0.654, 0.963, 0.406)
H (0.810, 0.576, 0.589)
H (0.890, 0.333, 0.466)
H (0.897, 0.041, 0.658)
H (0.897, 0.370, 0.751)
H (0.900, 0.594, 0.244)
H (0.963, 0.654, 0.906)
C (0.035, 0.467, 0.249)
C (0.079, 0.515, 0.889)
C (0.442, 0.933, 0.077)
C (0.467, 0.035, 0.749)
C (0.496, 0.551, 0.244)
C (0.515, 0.079, 0.389)
C (0.551, 0.496, 0.744)
C (0.933, 0.442, 0.577)
C (0.939, 0.983, 0.236)
C (0.983, 0.939, 0.736)
N (0.007, 0.380, 0.733)
N (0.380, 0.007, 0.233)
O (0.022, 0.305, 0.167)
O (0.118, 0.791, 0.685)
O (0.190, 0.491, 0.335)
O (0.305, 0.022, 0.667)
O (0.391, 0.714, 0.318)
O (0.491, 0.190, 0.835)
O (0.525, 0.581, 0.644)
O (0.581, 0.525, 0.144)
O (0.714, 0.391, 0.818)
O (0.791, 0.118, 0.185)
O (0.940, 0.977, 0.869)
O (0.977, 0.940, 0.369)

Calculated values
volume	481.9	Å³ per cell
crystal system	monoclinic
excess energy over the best structure of this formula in the dataset	37	kJ/mol of formula units
VASP energy	-291.40	eV/cell

(3)
# MnH11C5NO6

A geometry-optimized MnH11C5NO6 structure (GGA+U, Alexandria via LeMat-Bulk).

a = 9.191 Å, b = 8.347 Å, c = 12.171 Å
α = 90.00°, β = 90.00°, γ = 90.00°
Fractional coordinates of all 96 atoms:
Mn (0.030, 0.004, 0.000)
Mn (0.470, 0.504, 0.500)
Mn (0.530, 0.496, 0.000)
Mn (0.970, 0.996, 0.500)
H (0.004, 0.323, 0.713)
H (0.014, 0.069, 0.742)
H (0.062, 0.491, 0.636)
H (0.078, 0.465, 0.888)
H (0.117, 0.350, 0.224)
H (0.143, 0.630, 0.809)
H (0.171, 0.507, 0.306)
H (0.172, 0.293, 0.465)
H (0.197, 0.516, 0.168)
H (0.227, 0.439, 0.798)
H (0.243, 0.767, 0.548)
H (0.257, 0.267, 0.048)
H (0.273, 0.939, 0.298)
H (0.303, 0.016, 0.668)
H (0.328, 0.793, 0.965)
H (0.329, 0.007, 0.806)
H (0.357, 0.130, 0.309)
H (0.383, 0.850, 0.724)
H (0.422, 0.965, 0.388)
H (0.438, 0.991, 0.136)
H (0.486, 0.569, 0.242)
H (0.496, 0.823, 0.213)
H (0.504, 0.177, 0.713)
H (0.514, 0.431, 0.742)
H (0.562, 0.009, 0.636)
H (0.578, 0.035, 0.888)
H (0.617, 0.150, 0.224)
H (0.643, 0.870, 0.809)
H (0.671, 0.993, 0.306)
H (0.672, 0.207, 0.465)
H (0.697, 0.984, 0.168)
H (0.727, 0.061, 0.798)
H (0.743, 0.733, 0.548)
H (0.757, 0.233, 0.048)
H (0.773, 0.561, 0.298)
H (0.803, 0.484, 0.668)
H (0.828, 0.707, 0.965)
H (0.829, 0.493, 0.806)
H (0.857, 0.370, 0.309)
H (0.883, 0.650, 0.724)
H (0.922, 0.535, 0.388)
H (0.938, 0.509, 0.136)
H (0.986, 0.931, 0.242)
H (0.996, 0.677, 0.213)
C (0.016, 0.059, 0.250)
C (0.021, 0.453, 0.716)
C (0.123, 0.501, 0.809)
C (0.194, 0.716, 0.473)
C (0.235, 0.230, 0.530)
C (0.265, 0.730, 0.030)
C (0.306, 0.216, 0.973)
C (0.377, 0.001, 0.309)
C (0.479, 0.953, 0.216)
C (0.484, 0.559, 0.750)
C (0.516, 0.441, 0.250)
C (0.521, 0.047, 0.716)
C (0.623, 0.999, 0.809)
C (0.694, 0.784, 0.473)
C (0.735, 0.270, 0.530)
C (0.765, 0.770, 0.030)
C (0.806, 0.284, 0.973)
C (0.877, 0.499, 0.309)
C (0.979, 0.547, 0.216)
C (0.984, 0.941, 0.750)
N (0.127, 0.474, 0.230)
N (0.373, 0.974, 0.730)
N (0.627, 0.026, 0.230)
N (0.873, 0.526, 0.730)
O (0.012, 0.123, 0.344)
O (0.052, 0.133, 0.162)
O (0.081, 0.781, 0.435)
O (0.148, 0.793, 0.064)
O (0.183, 0.098, 0.565)
O (0.242, 0.095, 0.931)
O (0.258, 0.595, 0.431)
O (0.317, 0.598, 0.065)
O (0.352, 0.293, 0.564)
O (0.419, 0.281, 0.935)
O (0.448, 0.633, 0.662)
O (0.488, 0.623, 0.844)
O (0.512, 0.377, 0.344)
O (0.552, 0.367, 0.162)
O (0.581, 0.719, 0.435)
O (0.648, 0.707, 0.064)
O (0.683, 0.402, 0.565)
O (0.742, 0.405, 0.931)
O (0.758, 0.905, 0.431)
O (0.817, 0.902, 0.065)
O (0.852, 0.207, 0.564)
O (0.919, 0.219, 0.935)
O (0.948, 0.867, 0.662)
O (0.988, 0.877, 0.844)

Calculated values
volume	933.7	Å³ per cell
crystal system	orthorhombic
excess energy over the best structure of this formula in the dataset	0	kJ/mol of formula units
VASP energy	-584.33	eV/cell

(4)
# MnH12C8S2N2O2

A geometry-optimized MnH12C8S2N2O2 structure (GGA+U, Alexandria via LeMat-Bulk).

a = 5.867 Å, b = 8.005 Å, c = 8.316 Å
α = 107.42°, β = 101.12°, γ = 95.13°
Fractional coordinates of all 27 atoms:
Mn (0.000, 0.000, 0.000)
H (0.032, 0.517, 0.738)
H (0.118, 0.650, 0.455)
H (0.175, 0.335, 0.649)
H (0.382, 0.578, 0.200)
H (0.401, 0.767, 0.124)
H (0.456, 0.793, 0.351)
H (0.544, 0.207, 0.649)
H (0.599, 0.233, 0.876)
H (0.618, 0.422, 0.800)
H (0.825, 0.665, 0.351)
H (0.882, 0.350, 0.545)
H (0.968, 0.483, 0.262)
C (0.007, 0.374, 0.670)
C (0.096, 0.722, 0.224)
C (0.348, 0.715, 0.221)
C (0.409, 0.835, 0.807)
C (0.591, 0.165, 0.193)
C (0.652, 0.285, 0.779)
C (0.904, 0.278, 0.776)
C (0.993, 0.626, 0.330)
S (0.359, 0.213, 0.267)
S (0.641, 0.787, 0.733)
N (0.238, 0.868, 0.859)
N (0.762, 0.132, 0.141)
O (0.029, 0.197, 0.856)
O (0.971, 0.803, 0.144)

Calculated values
volume	361.1	Å³ per cell
crystal system	triclinic
VASP energy	-163.60	eV/cell

Question: Which value of volume does entry 4 give?
Answer: 361.1 Å³ per cell